Entry 1:
! Rb2NiAs2 GGA-PBEsol optimized geometry; values from VASP
&SYSTEM
  ibrav = 0, nat = 10, ntyp = 3
/
ATOMIC_SPECIES
As 74.92 As.upf
Rb 85.47 Rb.upf
Ni 58.69 Ni.upf
CELL_PARAMETERS angstrom
5.844 0.000 0.000
0.000 6.773 0.000
0.000 3.386 7.082
ATOMIC_POSITIONS angstrom
As 1.461 1.215 1.362
Rb 4.383 6.773 2.952
Ni 2.922 0.000 0.000
Ni 0.000 0.000 0.000
Rb 4.383 3.386 1.305
As 4.383 8.944 5.721
Rb 1.461 6.773 5.777
As 4.383 4.602 5.721
Rb 1.461 3.386 4.130
As 1.461 5.558 1.362
! N(E_F), states/eV per cell: 1.8
! Total magnetic moment, μB per cell: 0.00

=====

Entry 2:
! ReNiAs GGA-PBEsol optimized geometry; values from VASP
&SYSTEM
  ibrav = 0, nat = 3, ntyp = 3
/
ATOMIC_SPECIES
Ni 58.69 Ni.upf
Re 186.21 Re.upf
As 74.92 As.upf
CELL_PARAMETERS angstrom
3.027 0.000 0.000
0.000 3.027 0.000
-1.513 -1.513 4.299
ATOMIC_POSITIONS angstrom
Ni 1.513 1.513 1.355
Re 0.000 0.000 2.895
As 0.000 0.000 0.049
! N(E_F), states/eV per cell: 2.1
! Excess energy over the best structure of this formula in the dataset, meV per atom: 0
! Total magnetic moment, μB per cell: 0.00

=====

Entry 3:
! ReNiAs2 GGA-PBEsol optimized geometry; values from VASP
&SYSTEM
  ibrav = 0, nat = 4, ntyp = 3
/
ATOMIC_SPECIES
As 74.92 As.upf
Ni 58.69 Ni.upf
Re 186.21 Re.upf
CELL_PARAMETERS angstrom
2.660 0.000 0.011
0.000 4.381 0.000
-0.206 0.000 5.045
ATOMIC_POSITIONS angstrom
As 0.308 0.000 1.335
As 2.146 0.000 3.721
Ni 1.227 2.190 2.528
Re 0.000 2.190 0.000
! N(E_F), states/eV per cell: 3.4
! Excess energy over the best structure of this formula in the dataset, meV per atom: 0
! Total magnetic moment, μB per cell: 0.00

=====

Calculated energy relative to the elements (eV per atom), listed in the same order as above: -0.39; 0.19; 0.48